i.
Compound: LiScRe
Source: Alexandria
Functional: SCAN
Structure: PBEsol geometry

**Calculated density**: 8.4 Mg/m³
**Total magnetic moment**: 0.03 μB/f.u.
**Space group**: P3m1 (156)

extended XYZ file:
```
3
Lattice="-1.737 -1.710 0.619 3.231 -3.344 -0.171 -0.802 2.258 3.989" Properties=species:S:1:pos:R:3 pbc="T T T"
Sc 1.479 -1.878 1.361
Li -0.116 -0.114 0.041
Re -0.670 -0.803 3.034
```

***

ii.
Compound: LiScRe
Source: Alexandria
Functional: SCAN
Structure: PBEsol geometry

**Calculated density**: 7.8 Mg/m³
**Total magnetic moment**: 0.00 μB/f.u.
**Space group**: Fmm2 (42)

extended XYZ file:
```
3
Lattice="-1.082 0.690 -2.427 2.504 -1.067 -0.358 -3.578 -6.348 0.811" Properties=species:S:1:pos:R:3 pbc="T T T"
Sc -1.825 -4.160 -0.370
Re -0.250 -2.381 -1.588
Li -0.081 -0.184 -0.016
```

***

Which is most stable, and by how much? i, by 89 meV/atom.

***

i.
Compound: SrLi2Re
Source: Alexandria
Functional: SCAN
Structure: PBEsol geometry

**Calculated density**: 5.9 Mg/m³
**Total magnetic moment**: 0.02 μB/f.u.
**Space group**: Pmm2 (25)

extended XYZ file:
```
4
Lattice="2.788 0.000 0.000 0.000 3.788 0.000 0.000 0.000 7.709" Properties=species:S:1:pos:R:3 pbc="T T T"
Li 1.394 1.894 2.107
Re 0.000 0.000 3.356
Li 0.000 0.000 0.676
Sr 1.394 1.894 5.426
```

***

ii.
Compound: SrLi2Re
Source: Alexandria
Functional: SCAN
Structure: PBEsol geometry

**Calculated density**: 5.9 Mg/m³
**Total magnetic moment**: 0.00 μB/f.u.
**Space group**: Pmmm (47)

extended XYZ file:
```
4
Lattice="2.765 0.000 0.000 0.000 5.344 0.000 0.000 0.000 5.491" Properties=species:S:1:pos:R:3 pbc="T T T"
Li 1.382 2.672 0.000
Re 1.382 0.000 2.746
Sr 0.000 2.672 2.746
Li 0.000 0.000 0.000
```

***

Which is most stable, and by how much? i, by 203 meV/atom.

***

i.
Compound: Li2TaRe
Source: Alexandria
Functional: SCAN
Structure: PBEsol geometry

**Calculated density**: 10.0 Mg/m³
**Total magnetic moment**: 0.00 μB/f.u.
**Space group**: Pmm2 (25)

extended XYZ file:
```
4
Lattice="2.565 0.000 0.000 0.000 4.242 0.000 0.000 0.000 5.838" Properties=species:S:1:pos:R:3 pbc="T T T"
Ta 1.282 2.121 4.225
Re 0.000 0.000 3.000
Li 1.282 2.121 1.419
Li 0.000 0.000 0.114
```

***

ii.
Compound: Li2TaRe
Source: Alexandria
Functional: SCAN
Structure: PBEsol geometry

**Calculated density**: 11.4 Mg/m³
**Total magnetic moment**: 0.00 μB/f.u.
**Space group**: Imm2 (44)

extended XYZ file:
```
4
Lattice="-0.113 -0.569 -3.386 1.818 -3.911 0.596 -4.212 0.734 1.760" Properties=species:S:1:pos:R:3 pbc="T T T"
Ta -0.844 -2.741 0.489
Li -1.573 -0.964 -1.528
Re -3.257 -1.460 0.354
Li -0.192 -0.086 0.021
```

***

Which is most stable, and by how much? i, by 100 meV/atom.